# 1
Material: ZnRhBr2
Method: DFT, PBE-GGA
State: relaxed

Structure (extended XYZ):
```
4
Lattice="3.4543 0.0000 0.0000 0.0000 3.4543 0.0000 0.0000 0.0000 7.5889" Properties=species:S:1:pos:R:3 pbc="T T T"
Br 1.7271 1.7271 2.5658
Rh 0.0000 0.0000 4.3058
Zn 1.7271 1.7271 5.2639
Br 0.0000 0.0000 6.8368
```

## Properties
- total magnetization (μB/f.u.) = 0.9
- formation energy from raw total energies (meV/atom) = -22
- DOS(E_F) (states/eV/cell) = 4.33

=====

# 2
Material: La2YSi
Method: DFT, PBE-GGA
State: relaxed

Structure (extended XYZ):
```
4
Lattice="3.6217 0.0000 0.0000 0.0000 3.6217 0.0000 0.0000 0.0000 9.3676" Properties=species:S:1:pos:R:3 pbc="T T T"
Si 1.8108 1.8108 2.3419
Y 1.8108 1.8108 7.0257
La 0.0000 0.0000 0.4931
La 0.0000 0.0000 4.1907
```

## Properties
- total magnetization (μB/f.u.) = 0.0
- formation energy from raw total energies (meV/atom) = -192
- DOS(E_F) (states/eV/cell) = 5.47

=====

# 3
Material: FeAgIr2
Method: DFT, PBE-GGA
State: relaxed

Structure (extended XYZ):
```
4
Lattice="-9.0027 0.9833 1.4438 -9.1039 -1.0183 -0.4270 -8.7465 -1.6334 2.2207" Properties=species:S:1:pos:R:3 pbc="T T T"
Ir -13.2135 -0.8210 1.5931
Ir -0.2131 -0.0132 0.0257
Fe -20.1399 -1.2513 2.4282
Ag -6.7133 -0.4171 0.8094
```

## Properties
- total magnetization (μB/f.u.) = 3.1
- ΔH_f (0 K) (kJ/mol of formula units) = 49
- DOS(E_F) (states/eV/cell) = 4.73

=====

# 4
Material: Zn3PbF
Method: DFT, PBE-GGA
State: relaxed

Structure (extended XYZ):
```
5
Lattice="-1.5772 2.3921 4.5340 4.4860 -1.6517 2.4319 2.4808 4.5074 -1.5150" Properties=species:S:1:pos:R:3 pbc="T T T"
Zn -0.7886 1.1960 2.2670
F 2.6948 2.6239 2.7254
Pb 0.0000 0.0000 0.0000
Zn 1.2404 2.2537 -0.7575
Zn 2.2430 -0.8258 1.2159
```

## Properties
- total magnetization (μB/f.u.) = 0.0
- formation energy from raw total energies (meV/atom) = 106
- DOS(E_F) (states/eV/cell) = 1.09

=====

# 5
Material: CeMnPt6
Method: DFT, PBE-GGA
State: relaxed

Structure (extended XYZ):
```
8
Lattice="5.1920 1.1612 0.1437 1.5479 5.0901 0.1437 1.9805 1.8369 6.6674" Properties=species:S:1:pos:R:3 pbc="T T T"
Mn 0.0000 0.0000 0.0000
Pt 4.8534 4.5015 0.3390
Pt 3.4625 1.4465 2.0825
Pt 3.8671 3.5867 6.6158
Ce 4.3602 4.0441 3.4774
Pt 7.0179 4.7442 4.8724
Pt 5.2580 6.6417 4.8724
Pt 1.7025 3.3440 2.0825
```

## Properties
- total magnetization (μB/f.u.) = 4.4
- ΔH_f (0 K) (kJ/mol of formula units) = -274
- DOS(E_F) (states/eV/cell) = 5.40

=====

# 6
Material: EuAlCdAu
Method: DFT, PBE-GGA
State: relaxed

Structure (extended XYZ):
```
4
Lattice="-4.0842 -0.5628 -2.8475 0.3224 -2.3713 -4.4022 -2.0583 -4.5338 -0.5601" Properties=species:S:1:pos:R:3 pbc="T T T"
Eu -4.3651 -5.6009 -5.8574
Al -1.4550 -1.8670 -1.9525
Au 0.0000 0.0000 0.0000
Cd -2.9101 -3.7340 -3.9049
```

## Properties
- total magnetization (μB/f.u.) = 7.0
- ΔH_f (0 K) (kJ/mol of formula units) = -140
- DOS(E_F) (states/eV/cell) = 11.43

=====

# 7
Material: HfAlRu
Method: DFT, PBE-GGA
State: relaxed

Structure (extended XYZ):
```
6
Lattice="-2.5775 -2.9480 -1.6825 2.8364 -4.9620 4.3489 -2.2962 0.6982 2.2942" Properties=species:S:1:pos:R:3 pbc="T T T"
Ru -0.4706 -0.8361 2.1859
Ru 0.8702 -5.2508 2.4689
Hf -0.8889 -2.1735 -0.2281
Hf 1.2884 -3.9134 4.8830
Al -1.0507 -3.5497 2.4311
Al 1.4503 -2.5372 2.2237
```

## Properties
- total magnetization (μB/f.u.) = 0.0
- ΔH_f (0 K) (kJ/mol of formula units) = -171
- DOS(E_F) (states/eV/cell) = 3.79

=====

# 8
Material: ReRu
Method: DFT, PBE-GGA
State: relaxed

Structure (extended XYZ):
```
2
Lattice="2.7247 0.0000 0.0000 0.0000 2.7247 0.0000 0.0000 0.0000 3.8841" Properties=species:S:1:pos:R:3 pbc="T T T"
Re 1.3623 1.3623 0.0000
Ru 0.0000 0.0000 1.9421
```

## Properties
- total magnetization (μB/f.u.) = 0.0
- ΔH_f (0 K) (kJ/mol of formula units) = 3
- DOS(E_F) (states/eV/cell) = 1.29

=====

# 9
Material: RbIn2I
Method: DFT, PBE-GGA
State: relaxed

Structure (extended XYZ):
```
8
Lattice="4.8828 0.0000 0.0000 0.0000 4.8828 0.0000 2.4414 2.4414 13.8584" Properties=species:S:1:pos:R:3 pbc="T T T"
Rb 2.4414 2.4414 0.0000
I 0.0000 0.0000 0.0000
In 6.1035 6.3196 10.3938
In 3.8782 1.2207 3.4646
Rb 2.4414 4.8828 6.9292
In 3.6621 3.4460 10.3938
In 1.0046 3.6621 3.4646
I 4.8828 2.4414 6.9292
```

## Properties
- total magnetization (μB/f.u.) = 0.0
- formation energy from raw total energies (meV/atom) = -363
- DOS(E_F) (states/eV/cell) = 3.90

=====

# 10
Material: NbGeTeN2
Method: DFT, PBE-GGA
State: relaxed

Structure (extended XYZ):
```
5
Lattice="3.9410 0.0000 0.0000 0.0000 3.9410 0.0000 0.0000 0.0000 5.5262" Properties=species:S:1:pos:R:3 pbc="T T T"
N 1.9705 0.0000 0.0000
Nb 1.9705 1.9705 2.7631
Te 0.0000 0.0000 2.7631
Ge 0.0000 0.0000 0.0000
N 0.0000 1.9705 0.0000
```

## Properties
- total magnetization (μB/f.u.) = 0.7
- formation energy from raw total energies (meV/atom) = 1377
- DOS(E_F) (states/eV/cell) = 3.64

=====

# 11
Material: GdLuAlPd
Method: DFT, PBE-GGA
State: relaxed

Structure (extended XYZ):
```
4
Lattice="-0.5856 -3.8454 -3.1866 2.5282 -0.0712 -4.3460 3.7384 -3.2933 -0.6802" Properties=species:S:1:pos:R:3 pbc="T T T"
Lu 1.4203 -1.8025 -2.0532
Al 2.8405 -3.6049 -4.1064
Pd 0.0000 0.0000 0.0000
Gd 4.2608 -5.4074 -6.1596
```

## Properties
- total magnetization (μB/f.u.) = 7.2
- ΔH_f (0 K) (kJ/mol of formula units) = -224
- DOS(E_F) (states/eV/cell) = 3.09

=====

# 12
Material: NbNiC
Method: DFT, PBE-GGA
State: relaxed

Structure (extended XYZ):
```
12
Lattice="2.9881 0.0000 0.0000 0.0000 6.5534 0.0000 0.0000 0.0000 6.9478" Properties=species:S:1:pos:R:3 pbc="T T T"
C 1.4941 1.7054 3.7163
Ni 1.4941 5.2216 1.7075
Nb 0.0000 3.2767 2.9935
C 0.0000 4.9820 0.2424
Ni 1.4941 1.3317 1.7075
Ni 0.0000 4.6084 5.1814
Nb 0.0000 0.0000 3.5144
Nb 1.4941 0.0000 6.4674
C 1.4941 4.8480 3.7163
Nb 1.4941 3.2767 0.0405
Ni 0.0000 1.9450 5.1814
C 0.0000 1.5713 0.2424
```

## Properties
- total magnetization (μB/f.u.) = 0.0
- ΔH_f (0 K) (kJ/mol of formula units) = -18
- DOS(E_F) (states/eV/cell) = 8.01

=====

# 13
Material: Tl4SiW
Method: DFT, PBE-GGA
State: relaxed

Structure (extended XYZ):
```
6
Lattice="1.4058 0.0663 5.9811 -4.4628 -0.3499 4.2090 -0.6551 -5.0982 3.3666" Properties=species:S:1:pos:R:3 pbc="T T T"
Si 0.0000 0.0000 0.0000
W -2.7840 -4.0363 10.1676
Tl -0.6901 -1.9856 8.0733
Tl -1.3924 -2.0187 5.0852
Tl -1.7197 -4.5657 6.7671
Tl -3.6219 -2.1935 7.1879
```

## Properties
- total magnetization (μB/f.u.) = 3.4
- formation energy from raw total energies (meV/atom) = 1349
- DOS(E_F) (states/eV/cell) = 4.39

=====

# 14
Material: Pd2PbO
Method: DFT, PBE-GGA
State: relaxed

Structure (extended XYZ):
```
8
Lattice="5.1273 0.0000 0.0000 0.0000 5.1273 0.0000 2.5636 2.5636 6.1427" Properties=species:S:1:pos:R:3 pbc="T T T"
O 2.5636 2.5636 0.0000
Pb 0.0000 0.0000 0.0000
Pb 5.1273 2.5636 3.0714
Pd 3.8455 4.6714 4.6071
O 2.5636 5.1273 3.0714
Pd 6.4091 5.5832 4.6071
Pd 3.0195 1.2818 1.5357
Pd 2.1078 3.8455 1.5357
```

## Properties
- total magnetization (μB/f.u.) = 0.0
- formation energy from raw total energies (meV/atom) = -176
- DOS(E_F) (states/eV/cell) = 1.09

=====

# 15
Material: MoAsH2
Method: DFT, PBE-GGA
State: relaxed

Structure (extended XYZ):
```
4
Lattice="0.0000 2.7049 2.7049 2.7049 0.0000 2.7049 2.7049 2.7049 0.0000" Properties=species:S:1:pos:R:3 pbc="T T T"
As 0.0000 0.0000 0.0000
H 1.3525 1.3525 1.3525
H 4.0574 4.0574 4.0574
Mo 2.7049 2.7049 2.7049
```

## Properties
- total magnetization (μB/f.u.) = 1.1
- DFT total energy (eV per cell) = -18.55
- DOS(E_F) (states/eV/cell) = 2.85

=====

# 16
Material: SmEr4Tl7
Method: DFT, PBE-GGA
State: relaxed

Structure (extended XYZ):
```
12
Lattice="-5.2444 0.5451 2.2038 -6.0557 -5.3075 -5.6887 -1.6540 -5.2482 4.7714" Properties=species:S:1:pos:R:3 pbc="T T T"
Er -9.3128 -7.8511 2.0082
Sm 0.0000 0.0000 0.0000
Er -5.3946 -4.0553 2.9842
Er -7.5595 -5.9553 -1.6977
Tl -10.4216 -7.1192 -0.8114
Tl -6.4210 -6.4982 1.1458
Tl -4.7589 -4.4011 -2.8268
Tl -8.1952 -5.6095 4.1133
Er -3.6413 -2.1596 -0.7217
Tl -2.6222 0.2725 1.1019
Tl -6.5331 -3.5124 0.1406
Tl -2.5325 -2.8915 2.0979
```

## Properties
- total magnetization (μB/f.u.) = 0.0
- ΔH_f (0 K) (kJ/mol of formula units) = -106
- DOS(E_F) (states/eV/cell) = 6.93

=====

# 17
Material: CaCoMo2
Method: DFT, PBE-GGA
State: relaxed

Structure (extended XYZ):
```
4
Lattice="-5.1838 -0.7095 -0.7858 -2.3420 -2.3450 4.1241 2.6727 4.2701 -1.6172" Properties=species:S:1:pos:R:3 pbc="T T T"
Mo -3.3621 0.9253 -0.2671
Co -1.5384 0.2710 2.0091
Ca -3.7111 -1.5062 1.6462
Mo -0.0044 -0.0018 0.0020
```

## Properties
- total magnetization (μB/f.u.) = 0.8
- ΔH_f (0 K) (kJ/mol of formula units) = 256
- DOS(E_F) (states/eV/cell) = 3.83

=====

# 18
Material: CdOsPb
Method: DFT, PBE-GGA
State: relaxed

Structure (extended XYZ):
```
3
Lattice="6.6537 -0.0152 0.0000 5.0960 4.2782 0.0000 -5.8749 -2.1315 2.2836" Properties=species:S:1:pos:R:3 pbc="T T T"
Os 3.9449 1.4313 0.0000
Pb 8.1489 2.9565 0.0000
Cd 11.4058 4.1382 0.0000
```

## Properties
- total magnetization (μB/f.u.) = 0.0
- ΔH_f (0 K) (kJ/mol of formula units) = 212
- DOS(E_F) (states/eV/cell) = 2.65

=====

# 19
Material: AgSnBi2
Method: DFT, PBE-GGA
State: relaxed

Structure (extended XYZ):
```
4
Lattice="-3.0308 -2.2007 -0.5007 1.7143 -2.7900 1.8860 -2.9789 2.6086 6.5667" Properties=species:S:1:pos:R:3 pbc="T T T"
Bi -0.6720 0.5884 1.4813
Sn -2.1477 -1.1910 3.9760
Bi -2.3069 2.0202 5.0854
Ag -0.6583 -2.4953 0.6927
```

## Properties
- total magnetization (μB/f.u.) = 0.0
- ΔH_f (0 K) (kJ/mol of formula units) = 53
- DOS(E_F) (states/eV/cell) = 1.77

=====

# 20
Material: KCdOs3
Method: DFT, PBE-GGA
State: relaxed

Structure (extended XYZ):
```
5
Lattice="5.0644 0.0000 0.0000 0.0000 5.0644 0.0000 0.0000 0.0000 5.0644" Properties=species:S:1:pos:R:3 pbc="T T T"
K 2.5322 2.5322 2.5322
Cd 0.0000 0.0000 0.0000
Os 0.0000 0.0000 2.5322
Os 2.5322 0.0000 0.0000
Os 0.0000 2.5322 0.0000
```

## Properties
- total magnetization (μB/f.u.) = 6.6
- ΔH_f (0 K) (kJ/mol of formula units) = 1390
- DOS(E_F) (states/eV/cell) = 5.57

=====

# 21
Material: Zn5Mo3
Method: DFT, PBE-GGA
State: relaxed

Structure (extended XYZ):
```
16
Lattice="-1.3145 -1.6085 4.1482 -2.6141 -7.2273 -0.8048 7.3300 -2.0619 -1.2942" Properties=species:S:1:pos:R:3 pbc="T T T"
Zn -1.4588 -6.6321 2.1585
Zn -0.2717 -6.8701 -0.1506
Mo 0.1874 -8.7751 1.8553
Zn 1.3695 -5.8352 2.0677
Zn 4.8655 -4.2687 -0.1068
Mo -0.0592 -0.9293 0.9187
Mo 3.2189 -2.1258 0.1962
Mo 4.3972 -6.5439 1.4525
Zn 1.1091 -3.2276 1.7250
Zn -0.4409 -4.3832 3.3290
Zn 3.6782 -4.0307 2.2022
Mo -0.9909 -4.3569 0.5990
Zn 2.0366 -5.0655 -0.0163
Mo 3.4658 -9.9714 1.1327
Zn 2.2973 -7.6732 0.3266
Zn 3.8471 -6.5176 -1.2774
```

## Properties
- total magnetization (μB/f.u.) = 0.0
- ΔH_f (0 K) (kJ/mol of formula units) = 221
- DOS(E_F) (states/eV/cell) = 7.07

=====

# 22
Material: ZrSb2TeIr
Method: DFT, PBE-GGA
State: relaxed

Structure (extended XYZ):
```
5
Lattice="-3.3929 -3.7886 0.0079 2.8777 -2.5702 3.3134 -2.6003 2.3372 4.0713" Properties=species:S:1:pos:R:3 pbc="T T T"
Ir 0.0000 0.0000 0.0000
Sb 1.4388 -1.2851 1.6567
Sb -1.6965 -1.8943 0.0040
Te -1.3001 1.1686 2.0357
Zr -1.5578 -2.0108 3.6963
```

## Properties
- total magnetization (μB/f.u.) = 0.0
- formation energy from raw total energies (meV/atom) = 529
- DOS(E_F) (states/eV/cell) = 5.53

=====

# 23
Material: Rb3SrNp2O9
Method: DFT, PBE-GGA
State: relaxed

Structure (extended XYZ):
```
15
Lattice="-0.8188 -5.9315 1.8115 4.8845 3.2758 2.1321 -4.2235 2.4081 5.9761" Properties=species:S:1:pos:R:3 pbc="T T T"
Rb 0.1961 1.7959 5.9691
Np -2.4806 -0.8310 6.9597
O -2.3377 0.0921 5.2142
O 2.0329 -1.3279 1.9718
Rb 0.0000 0.0000 0.0000
O 2.1799 -0.3398 4.7055
Rb -0.3539 -2.0436 3.9506
O -2.7040 -2.5616 6.0246
O -0.4094 -2.9658 0.9057
Sr -2.1118 1.2040 2.9881
Np 2.3228 0.5833 2.9600
O 0.3610 0.8484 2.9412
O 2.4423 1.6379 1.0660
O 2.5463 2.3139 3.8951
O -0.5187 -1.0961 6.9785
```

## Properties
- total magnetization (μB/f.u.) = 1.0
- formation energy from raw total energies (meV/atom) = -2534
- DOS(E_F) (states/eV/cell) = 7.34

=====

# 24
Material: Cs2NaCd3Bi4
Method: DFT, PBE-GGA
State: relaxed

Structure (extended XYZ):
```
10
Lattice="-1.8908 -4.9208 0.3976 0.0582 -0.4480 -5.2672 11.9010 -4.5312 0.5170" Properties=species:S:1:pos:R:3 pbc="T T T"
Bi 0.0000 0.0000 0.0000
Bi 6.5774 -5.3246 0.5256
Cd 9.3337 -6.3741 0.6453
Cs 2.0736 -3.6099 0.3299
Cd 5.9505 -2.2656 0.2585
Cd 1.6511 -0.8415 -2.5631
Na 5.0342 -4.9500 -2.1763
Cs 8.9111 -3.6057 -2.2478
Bi 4.4074 -1.8910 -2.4434
Bi -0.9163 -2.6844 -2.4348
```

## Properties
- total magnetization (μB/f.u.) = 0.0
- ΔH_f (0 K) (kJ/mol of formula units) = -257
- DOS(E_F) (states/eV/cell) = 2.85

=====

# 25
Material: Ag2Hg2I3
Method: DFT, PBE-GGA
State: relaxed

Structure (extended XYZ):
```
7
Lattice="4.6032 0.0000 0.9957 2.2099 8.0221 0.9220 0.7755 -1.5681 7.5528" Properties=species:S:1:pos:R:3 pbc="T T T"
I 0.0000 0.0000 0.0000
Ag 3.6045 6.5122 5.6127
Hg 2.1909 4.7975 1.0098
I 1.4984 1.3344 4.2108
Hg 5.3977 1.6565 8.4607
Ag 3.9841 -0.0582 3.8578
I 6.0902 5.1196 5.2597
```

## Properties
- total magnetization (μB/f.u.) = 0.0
- formation energy from raw total energies (meV/atom) = -163
- DOS(E_F) (states/eV/cell) = 1.28

=====

# 26
Material: CaPm2Sn
Method: DFT, PBE-GGA
State: relaxed

Structure (extended XYZ):
```
8
Lattice="-1.1899 2.6581 4.9888 -2.4195 -6.7049 -0.3490 5.9606 -2.2884 2.6410" Properties=species:S:1:pos:R:3 pbc="T T T"
Pm 0.9433 -5.0770 2.9301
Ca -1.6460 -3.7750 4.9632
Sn 0.5015 -2.3353 1.3639
Ca 3.9973 -2.5602 2.3175
Pm 3.6468 -6.1149 4.1279
Sn 1.8498 -4.0000 5.9168
Pm -1.2955 -0.2203 3.1528
Pm 1.4080 -1.2583 4.3507
```

## Properties
- total magnetization (μB/f.u.) = 0.0
- ΔH_f (0 K) (kJ/mol of formula units) = -114
- DOS(E_F) (states/eV/cell) = 9.17